Record 1
VASP calculation (PBE) on a geometry-optimized SmEr2Al structure.

The space group is R-3m (No. 166, hexagonal axes) and the conventional cell measures 3.4382, 3.4382 and 34.4635 Å, with angles of 90.00, 90.00 and 120.00 degrees. The distinct sites, in fractional coordinates, are Sm at (0.0000, 0.0000, 0.0000), Er at (0.0000, 0.0000, 0.1009) and Al at (0.0000, 0.0000, 0.5000).

The calculation puts the formation enthalpy at 0 K at 0.09 eV/atom. The relative energy among the computed polymorphs is 1.171 eV per formula unit. The total magnetization comes out at 0.00 μB/cell.

***

Record 2
VASP calculation (PBE) on a geometry-optimized Er3CoPd structure.

The space group is C2/m (No. 12) and the conventional cell measures 9.881, 6.062 and 8.323 Å, with angles of 90.00, 116.02 and 90.00 degrees. The distinct sites, in fractional coordinates, are Er at (0.015, 0.000, 0.223), Er at (0.185, 0.500, 0.854), Er at (0.206, 0.500, 0.338), Co at (0.000, 0.312, 0.000) and Pd at (0.000, 0.270, 0.500).

The calculation puts the formation enthalpy at 0 K at -0.46 eV/atom. The relative energy among the computed polymorphs is 0.057 eV per formula unit. The total magnetization comes out at 0.00 μB/cell.

***

Record 3
VASP calculation (PBE) on a geometry-optimized Y7Tl2Te2 structure.

The space group is Imm2 (No. 44) and the conventional cell measures 4.459, 15.089 and 9.715 Å, with angles of 90.00, 90.00 and 90.00 degrees. The distinct sites, in fractional coordinates, are Y at (0.000, 0.000, 0.000), Y at (0.000, 0.124, 0.604), Y at (0.000, 0.318, 0.388), Y at (0.000, 0.362, 0.764), Tl at (0.000, 0.232, 0.085), Te at (0.000, 0.000, 0.346) and Te at (0.000, 0.500, 0.242).

The calculation puts the uncorrected formation energy at -658.5 meV/atom. The total magnetization comes out at 0.00 μB/cell.

***

Across the entries above, final energy takes the values -4.303, -5.655, -5.773 eV/atom, respectively.